Record 1
Below is an optimized crystal structure of LiLuZnCo, with properties calculated at the PBE-GGA level.

Calculated values
- DOS at the Fermi energy: 1.9 states/eV/f.u.
- ΔE_f: -0.10 eV per atom
- SG: F-43m (216)
- Electronic total energy: -0.13990 Ha/atom
- ρ: 8.130 g/cm³

Cell lengths 4.4557, 4.4557, 4.4557 Å; angles 60.00, 60.00, 60.00 degrees
Positions (direct):
Zn  0.0000  0.0000  0.0000
Lu  0.5000  0.5000  0.5000
Co  0.7500  0.7500  0.7500
Li  0.2500  0.2500  0.2500

=====

Record 2
Below is an optimized crystal structure of Tb2Pr3Sc4, with properties calculated at the PBE-GGA level.

Calculated values
- DOS at the Fermi energy: 14.4 states/eV/f.u.
- ΔE_f: 0.12 eV per atom
- SG: C2/c (15)
- Electronic total energy: -0.19534 Ha/atom
- ρ: 5.717 g/cm³

Cell lengths 5.9211, 10.9097, 10.9097 Å; angles 62.95, 63.47, 63.47 degrees
Positions (direct):
Pr  0.2804  0.2841  0.0382
Pr  0.2196  0.9618  0.7159
Pr  0.7196  0.7159  0.9618
Pr  0.7500  0.3574  0.6426
Sc  0.6133  0.4003  0.1344
Tb  0.9466  0.5026  0.2592
Sc  0.1133  0.1344  0.4003
Sc  0.3867  0.5997  0.8656
Tb  0.0534  0.4974  0.7408
Pr  0.7804  0.0382  0.2841
Sc  0.8867  0.8656  0.5997
Sc  0.0585  0.8279  0.0655
Pr  0.2500  0.6426  0.3574
Sc  0.9415  0.1721  0.9345
Tb  0.5534  0.7408  0.4974
Sc  0.4415  0.9345  0.1721
Tb  0.4466  0.2592  0.5026
Sc  0.5585  0.0655  0.8279

=====

Record 3
Below is an optimized crystal structure of TcB2W, with properties calculated at the PBE-GGA level.

Calculated values
- DOS at the Fermi energy: 3.7 states/eV/f.u.
- ΔE_f: 0.83 eV per atom
- SG: I-42d (122)
- Electronic total energy: -0.30657 Ha/atom
- Energy above the lowest structure with this stoichiometry: 1003 meV per atom
- ρ: 9.163 g/cm³

Cell lengths 4.7488, 4.7488, 5.9212 Å; angles 66.36, 66.36, 90.00 degrees
Positions (direct):
W  0.7500  0.2500  0.5000
B  0.8750  0.8609  0.7500
Tc  0.2500  0.7500  0.5000
B  0.1391  0.6250  0.2500
B  0.6109  0.1250  0.2500
B  0.3750  0.3891  0.7500
W  0.0000  0.0000  0.0000
Tc  0.5000  0.5000  0.0000

=====

Record 4
Below is an optimized crystal structure of TiSnH3, with properties calculated at the PBE-GGA level.

Calculated values
- DOS at the Fermi energy: 4.3 states/eV/f.u.
- SG: Pm-3m (221)
- Electronic total energy: -0.13089 Ha/atom
- Energy above the lowest structure with this stoichiometry: 788 meV per atom
- ρ: 4.720 g/cm³

Cell lengths 3.9075, 3.9075, 3.9075 Å; angles 90.00, 90.00, 90.00 degrees
Last column: magnetic moment on the atom in μB.
Positions (direct):
Sn  0.0000  0.0000  0.0000  0.00
H  0.0000  0.5000  0.0000  0.01
H  0.0000  0.0000  0.5000  0.00
H  0.5000  0.0000  0.0000  0.01
Ti  0.5000  0.5000  0.5000  -1.75

=====

Record 5
Below is an optimized crystal structure of Y2ErFe, with properties calculated at the PBE-GGA level.

Calculated values
- DOS at the Fermi energy: 4.2 states/eV/f.u.
- ΔE_f: 0.13 eV per atom
- SG: P4/mmm (123)
- Electronic total energy: -0.23379 Ha/atom
- Energy above the lowest structure with this stoichiometry: 133 meV per atom
- ρ: 6.550 g/cm³

Cell lengths 3.3640, 3.3640, 8.9818 Å; angles 90.00, 90.00, 90.00 degrees
Positions (direct):
Fe  0.5000  0.5000  0.0000
Y  0.0000  0.0000  0.1806
Er  0.5000  0.5000  0.5000
Y  0.0000  0.0000  0.8194

=====

Record 6
Below is an optimized crystal structure of Pr4Dy6Er, with properties calculated at the PBE-GGA level.

Calculated values
- DOS at the Fermi energy: 14.4 states/eV/f.u.
- ΔE_f: 0.29 eV per atom
- SG: I-42m (121)
- Electronic total energy: -0.16067 Ha/atom
- Energy above the lowest structure with this stoichiometry: 126 meV per atom
- ρ: 7.426 g/cm³

Cell lengths 9.7301, 9.7301, 9.7301 Å; angles 58.27, 139.73, 139.73 degrees
Positions (direct):
Dy  0.6459  0.2005  0.2005
Dy  0.5000  0.0000  0.5000
Dy  0.3541  0.5546  0.5546
Pr  0.0000  0.0142  0.6337
Dy  0.0000  0.4454  0.7995
Dy  0.0000  0.7995  0.4454
Er  0.0000  0.0000  0.0000
Dy  0.5000  0.5000  0.0000
Pr  0.6195  0.9858  0.9858
Pr  0.3805  0.3663  0.3663
Pr  0.0000  0.6337  0.0142

=====

Record 7
Below is an optimized crystal structure of SrYAgTe3, with properties calculated at the PBE-GGA level.

Calculated values
- SG: P2_1/m (11)
- Electronic total energy: -0.16998 Ha/atom
- E_form (uncorrected): -117.9 kJ/mol of atoms
- ρ: 5.731 g/cm³

Cell lengths 4.4287, 8.9621, 10.0417 Å; angles 104.04, 90.00, 90.00 degrees
Positions (direct):
Te  0.7500  0.4322  0.1550
Y  0.7500  0.3229  0.8331
Y  0.2500  0.6771  0.1669
Te  0.2500  0.5678  0.8450
Te  0.2500  0.7418  0.4813
Te  0.2500  0.0939  0.8709
Sr  0.2500  0.1947  0.2521
Te  0.7500  0.2582  0.5187
Ag  0.7500  0.9176  0.4146
Te  0.7500  0.9061  0.1291
Sr  0.7500  0.8053  0.7479
Ag  0.2500  0.0824  0.5854

=====

Record 8
Below is an optimized crystal structure of NaMg2TiTc, with properties calculated at the PBE-GGA level.

Calculated values
- DOS at the Fermi energy: 3.3 states/eV/f.u.
- ΔE_f: 0.38 eV per atom
- SG: P4/mmm (123)
- Electronic total energy: -0.15339 Ha/atom
- ρ: 2.887 g/cm³

Cell lengths 5.2902, 4.4699, 5.2902 Å; angles 90.00, 90.00, 90.00 degrees
Positions (direct):
Tc  0.0000  0.0000  0.0000
Ti  0.0000  0.5000  0.0000
Mg  0.5000  0.0000  0.0000
Na  0.5000  0.5000  0.5000
Mg  0.0000  0.0000  0.5000

=====

Q: What is the electronic total energy in the fourth record?
A: -0.13089 Ha/atom

=====

Q: What is the electronic total energy in the second record?
A: -0.19534 Ha/atom

=====

Q: Which formula does entry 3 have?
A: TcB2W

=====

Q: Number 8 is which compound?
A: NaMg2TiTc